Hf2MnAl: optimized geometry, GGA-PBE.

The space group is P4/mmm (No. 123) and the conventional cell measures 3.2366, 3.2366 and 6.5948 Å, with angles of 90.00, 90.00 and 90.00 degrees. Symmetry generates all atoms from Hf at (0.0000, 0.0000, 0.2285), Mn at (0.5000, 0.5000, 0.0000) and Al at (0.5000, 0.5000, 0.5000).

The crystal system is tetragonal. Its total magnetization is 0.0 μB per formula unit. The value obtained for the volume is 17.27 Å³/atom. The uncorrected energy is -33.97 eV per cell. For the formation energy, the calculation gives -0.2874 eV/atom.

***

Hf2Mn2Al: optimized geometry, GGA-PBE.

The space group is P4/mbm (No. 127) and the conventional cell measures 6.3934, 6.3934 and 4.0366 Å, with angles of 90.00, 90.00 and 90.00 degrees. Symmetry generates all atoms from Hf at (0.1831, 0.3169, 0.0000), Mn at (0.1136, 0.6136, 0.5000) and Al at (0.0000, 0.0000, 0.5000).

The crystal system is tetragonal. Its total magnetization is 1.3 μB per formula unit. The value obtained for the volume is 16.50 Å³/atom. The uncorrected energy is -85.89 eV per cell. For the formation energy, the calculation gives -0.1910 eV/atom.

***

HfMn2Al2: optimized geometry, GGA-PBE.

The space group is P4/mbm (No. 127) and the conventional cell measures 7.2850, 7.2850 and 2.8511 Å, with angles of 90.00, 90.00 and 90.00 degrees. Symmetry generates all atoms from Hf at (0.0000, 0.0000, 0.0000), Mn at (0.1726, 0.3274, 0.5000) and Al at (0.1245, 0.6245, 0.0000).

The crystal system is tetragonal. Its total magnetization is 4.0 μB per formula unit. The value obtained for the volume is 15.13 Å³/atom. The uncorrected energy is -73.35 eV per cell. For the formation energy, the calculation gives -0.1792 eV/atom.

***

Hf3MnAl: optimized geometry, GGA-PBE.

The space group is Pm-3m (No. 221) and the conventional cell measures 4.8835, 4.8835 and 4.8835 Å, with angles of 90.00, 90.00 and 90.00 degrees. Symmetry generates all atoms from Hf at (0.0000, 0.0000, 0.5000), Mn at (0.5000, 0.5000, 0.5000) and Al at (0.0000, 0.0000, 0.0000).

The crystal system is cubic. Its total magnetization is 0.4 μB per formula unit. The value obtained for the volume is 23.29 Å³/atom. The uncorrected energy is -35.96 eV per cell. For the formation energy, the calculation gives 1.3631 eV/atom.